1.
Here is Li2HgGeS4 after structural relaxation from Alexandria via LeMat-Bulk. Energies are from PBE-GGA.

Properties
space group = I-42m
E_form (uncorrected) = -0.72 eV/atom
Fermi-level density of states = 0.00 states/eV/atom

Geometry as POSCAR:
```
Li2HgGeS4
1.0
-2.8009 2.8009 5.5736
2.8009 -2.8009 5.5736
2.8009 2.8009 -5.5736
Li Hg Ge S
2 1 1 4
Cartesian
2.8009 0.0000 2.7868
0.0000 2.8009 2.7868
0.0000 0.0000 0.0000
0.0000 0.0000 5.5736
1.2443 -1.2443 4.1766
1.5566 1.5566 1.3970
-1.2443 1.2443 4.1766
1.2443 1.2443 6.9706
```

2.
Here is Pm3Ru4C2 after structural relaxation from Alexandria via LeMat-Bulk. Energies are from PBE-GGA.

Properties
space group = C2/m
ΔE_f = -0.062 eV/atom
Fermi-level density of states = 0.55 states/eV/atom

Geometry as POSCAR:
```
Pm3Ru4C2
1.0
5.5123 -2.0202 0.0000
5.5123 2.0202 0.0000
-2.0920 0.0000 7.0799
Pm Ru C
3 4 2
Cartesian
0.0000 0.0000 0.0000
3.7987 0.0000 2.1086
5.1340 0.0000 4.9713
1.0150 0.0000 2.9389
1.3573 0.0000 6.1352
7.5754 0.0000 0.9447
7.9177 0.0000 4.1410
2.5115 0.0000 4.5003
6.4212 0.0000 2.5796
```

3.
Here is Na3Ho2ScTe6 after structural relaxation from Alexandria via LeMat-Bulk. Energies are from PBE-GGA.

Properties
space group = C2/m
E_form (uncorrected) = -1.27 eV/atom

Geometry as POSCAR:
```
Na3Ho2ScTe6
1.0
3.7722 -6.5331 0.0000
3.7722 6.5331 0.0000
-2.5227 0.0000 7.5575
Na Ho Sc Te
3 2 1 6
Cartesian
0.0000 0.0000 0.0000
3.7722 2.2235 0.0000
3.7722 -2.2235 0.0000
2.5109 4.3627 3.7788
2.5109 -4.3627 3.7788
2.5109 0.0000 3.7788
1.2952 2.1117 2.0624
0.0758 0.0000 5.4982
1.2952 -2.1117 2.0624
3.7265 2.1117 5.4951
4.9459 0.0000 2.0593
3.7265 -2.1117 5.4951
```